Crystalline SbW2Cl at its relaxed geometry. Source: the Alexandria database, functional PBE-GGA.

Values from the calculation:
E above lowest polymorph in meV/atom: 1019
Size of the total moment in μB/atom: 0.000
SG: Pmmm, No. 47
Formation energy without anion corrections in eV per formula unit: 4.3

a b c (Å): 2.8635 5.4643 4.7073
angles (deg): 90.00 90.00 90.00
Last column: nearest neighbours and their distance in Å.
Fractional positions:
W 0.0000 0.0000 0.0000  4 Cl 2.75, 6 W 2.86-3.08
Sb 0.0000 0.5000 0.5000  4 W 2.75, 2 Sb 2.86, 4 Cl 3.08
W 0.5000 0.5000 0.0000  4 Sb 2.75, 6 W 2.86-3.08
Cl 0.5000 0.0000 0.5000  4 W 2.75, 2 Cl 2.86, 4 Sb 3.08